Record 1
A geometry-optimized V5Ni3Pt3 structure. Source: the Alexandria database, functional GGA-PBE.

Computed properties:
total magnetic moment = 0.517 μB/atom
energy relative to the elements = 175 meV/atom

a b c (Å): 8.3839 8.3839 2.6220
angles (deg): 90.00 90.00 120.00
Closest atoms and distances in Å follow each position.
Fractional positions:
V: 0.0000 0.6791 0.0000  2 Ni 2.33, 2 Pt 2.56
V: 0.3209 0.3209 0.0000  2 Ni 2.33, 2 Pt 2.56
V: 0.3333 0.6667 0.0000  5 V 2.62-2.85, 6 Pt 2.84
V: 0.6667 0.3333 0.0000  5 V 2.62-2.85, 6 Pt 2.84
V: 0.6791 0.0000 0.0000  2 Ni 2.33, 2 Pt 2.56
Ni: 0.0000 0.1595 0.0000  2 Ni 2.32, 2 V 2.33, 2 Pt 2.53
Ni: 0.1595 0.0000 0.0000  2 Ni 2.32, 2 V 2.33, 2 Pt 2.53
Ni: 0.8405 0.8405 0.0000  2 Ni 2.32, 2 V 2.33, 2 Pt 2.53
Pt: 0.0000 0.4170 0.5000  2 Ni 2.53, 2 V 2.56, 2 Pt 2.62
Pt: 0.4170 0.0000 0.5000  2 Ni 2.53, 2 V 2.56, 2 Pt 2.62
Pt: 0.5830 0.5830 0.5000  2 Ni 2.53, 2 V 2.56, 2 Pt 2.62

Record 2
A geometry-optimized LiTb3Pu2Se6 structure. Source: the Alexandria database, functional GGA-PBE.

Computed properties:
total magnetic moment = 0.987 μB/atom
energy relative to the elements, uncorrected = -1.6693 eV per atom

a b c (Å): 7.0987 7.0987 7.1245
angles (deg): 99.58 99.58 120.03
Closest atoms and distances in Å follow each position.
Fractional positions:
Li: 0.0000 0.0000 0.0000  6 Se 2.85-2.86
Tb: 0.1683 0.8317 0.5000  6 Se 2.88-2.94
Tb: 0.5000 0.5000 0.5000  6 Se 2.88-2.95
Tb: 0.8317 0.1683 0.5000  6 Se 2.88-2.94
Pu: 0.3338 0.6662 0.0000  6 Se 2.92
Pu: 0.6662 0.3338 0.0000  6 Se 2.92
Se: 0.0829 0.4083 0.2491  1 Li 2.85, 3 Tb 2.88-2.94, 2 Pu 2.92
Se: 0.2421 0.2421 0.7500  1 Li 2.86, 3 Tb 2.89-2.95, 2 Pu 2.92
Se: 0.4083 0.0829 0.2491  1 Li 2.85, 3 Tb 2.88-2.94, 2 Pu 2.92
Se: 0.5917 0.9171 0.7509  1 Li 2.85, 3 Tb 2.88-2.94, 2 Pu 2.92
Se: 0.7579 0.7579 0.2500  1 Li 2.86, 3 Tb 2.89-2.95, 2 Pu 2.92
Se: 0.9171 0.5917 0.7509  1 Li 2.85, 3 Tb 2.88-2.94, 2 Pu 2.92

Record 3
A geometry-optimized MgVI3 structure. Source: the Alexandria database, functional GGA-PBE.

Computed properties:
total magnetic moment = 0.506 μB/atom
energy relative to the elements, uncorrected = -0.1057 eV per atom
ΔE to the lowest computed polymorph = 0.0000 eV/atom

a b c (Å): 5.5902 5.5902 5.5902
angles (deg): 90.00 90.00 90.00
Closest atoms and distances in Å follow each position.
Fractional positions:
Mg: 0.0000 0.0000 0.0000  12 I 3.95
V: 0.5000 0.5000 0.5000  6 I 2.80
I: 0.0000 0.5000 0.5000  2 V 2.80
I: 0.5000 0.0000 0.5000  2 V 2.80
I: 0.5000 0.5000 0.0000  2 V 2.80

Record 4
A geometry-optimized CaZr3Ru structure. Source: the Alexandria database, functional GGA-PBE.

Computed properties:
total magnetic moment = 0.000 μB/atom
ΔE to the lowest computed polymorph = 0.0000 eV/atom
energy relative to the elements = 183 meV/atom

a b c (Å): 5.1194 5.1194 5.1194
angles (deg): 90.00 90.00 90.00
Closest atoms and distances in Å follow each position.
Fractional positions:
Ca: 0.0000 0.0000 0.0000  12 Zr 3.62
Zr: 0.0000 0.5000 0.5000  2 Ru 2.56
Zr: 0.5000 0.0000 0.5000  2 Ru 2.56
Zr: 0.5000 0.5000 0.0000  2 Ru 2.56
Ru: 0.5000 0.5000 0.5000  6 Zr 2.56

Record 5
A geometry-optimized HfTa structure. Source: the Alexandria database, functional GGA-PBE.

Computed properties:
total magnetic moment = 0.000 μB/atom
energy relative to the elements = 1165 meV/atom

a b c (Å): 3.9902 3.9902 3.9902
angles (deg): 60.00 60.00 60.00
Closest atoms and distances in Å follow each position.
Fractional positions:
Hf: 0.0000 0.0000 0.0000  6 Ta 2.82
Ta: 0.5000 0.5000 0.5000  6 Hf 2.82

Record 6
A geometry-optimized Rb3Pm3GaS8 structure. Source: the Alexandria database, functional GGA-PBE.

Computed properties:
total magnetic moment = 0.000 μB/atom
energy relative to the elements, uncorrected = -1.4296 eV per atom

a b c (Å): 9.1513 9.1513 9.1513
angles (deg): 52.81 52.81 52.81
Closest atoms and distances in Å follow each position.
Fractional positions:
Rb: 0.0000 0.5000 0.5000  6 S 3.34-3.37
Rb: 0.5000 0.0000 0.5000  6 S 3.34-3.37
Rb: 0.5000 0.5000 0.0000  6 S 3.34-3.37
Pm: 0.0000 0.0000 0.5000  6 S 2.81-2.84
Pm: 0.0000 0.5000 0.0000  6 S 2.81-2.84
Pm: 0.5000 0.0000 0.0000  6 S 2.81-2.84
Ga: 0.5000 0.5000 0.5000  6 S 2.57
S: 0.2324 0.2324 0.2324  3 Pm 2.81
S: 0.2564 0.7122 0.7122  1 Ga 2.57, 2 Pm 2.84
S: 0.2878 0.2878 0.7436  1 Ga 2.57, 2 Pm 2.84
S: 0.2878 0.7436 0.2878  1 Ga 2.57, 2 Pm 2.84
S: 0.7122 0.2564 0.7122  1 Ga 2.57, 2 Pm 2.84
S: 0.7122 0.7122 0.2564  1 Ga 2.57, 2 Pm 2.84
S: 0.7436 0.2878 0.2878  1 Ga 2.57, 2 Pm 2.84
S: 0.7676 0.7676 0.7676  3 Pm 2.81

Record 7
A geometry-optimized ReMo3 structure. Source: the Alexandria database, functional GGA-PBE.

Computed properties:
total magnetic moment = 0.000 μB/atom
energy relative to the elements = 181 meV/atom

a b c (Å): 5.2663 9.1095 5.2932
angles (deg): 90.00 90.00 90.00
Closest atoms and distances in Å follow each position.
Fractional positions:
Re: 0.0116 0.2500 0.1900  4 Mo 2.61-2.69, 2 Re 2.71
Re: 0.4884 0.7500 0.6900  4 Mo 2.61-2.69, 2 Re 2.71
Re: 0.5116 0.2500 0.3100  4 Mo 2.61-2.69, 2 Re 2.71
Re: 0.9884 0.7500 0.8100  4 Mo 2.61-2.69, 2 Re 2.71
Mo: 0.0102 0.2500 0.6975  2 Re 2.61-2.69, 4 Mo 2.69-2.71
Mo: 0.2486 0.0025 0.0716  6 Mo 2.65-2.94, 2 Re 2.65-2.93
Mo: 0.2486 0.4975 0.0716  6 Mo 2.65-2.94, 2 Re 2.65-2.93
Mo: 0.2514 0.5025 0.5716  6 Mo 2.65-2.94, 2 Re 2.65-2.93
Mo: 0.2514 0.9975 0.5716  6 Mo 2.65-2.94, 2 Re 2.65-2.93
Mo: 0.4898 0.7500 0.1975  2 Re 2.61-2.69, 4 Mo 2.69-2.71
Mo: 0.5102 0.2500 0.8025  2 Re 2.61-2.69, 4 Mo 2.69-2.71
Mo: 0.7486 0.0025 0.4284  6 Mo 2.65-2.94, 2 Re 2.65-2.93
Mo: 0.7486 0.4975 0.4284  6 Mo 2.65-2.94, 2 Re 2.65-2.93
Mo: 0.7514 0.5025 0.9284  6 Mo 2.65-2.94, 2 Re 2.65-2.93
Mo: 0.7514 0.9975 0.9284  6 Mo 2.65-2.94, 2 Re 2.65-2.93
Mo: 0.9898 0.7500 0.3025  2 Re 2.61-2.69, 4 Mo 2.69-2.71

Record 8
A geometry-optimized Ag2Pd5 structure. Source: the Alexandria database, functional GGA-PBE.

Computed properties:
total magnetic moment = 0.000 μB/atom
ΔE to the lowest computed polymorph = 0.0360 eV/atom
energy relative to the elements = 49 meV/atom

a b c (Å): 6.9607 6.9607 6.9607
angles (deg): 37.72 37.72 37.72
Closest atoms and distances in Å follow each position.
Fractional positions:
Ag: 0.1425 0.1425 0.1425  5 Pd 2.76-2.80, 3 Ag 2.76
Ag: 0.8575 0.8575 0.8575  5 Pd 2.76-2.80, 3 Ag 2.76
Pd: 0.0000 0.0000 0.0000  6 Pd 2.75, 2 Ag 2.76
Pd: 0.2871 0.2871 0.2871  7 Pd 2.71-2.76, 1 Ag 2.80
Pd: 0.4271 0.4271 0.4271  5 Pd 2.71-2.83, 3 Ag 2.76
Pd: 0.5729 0.5729 0.5729  5 Pd 2.71-2.83, 3 Ag 2.76
Pd: 0.7129 0.7129 0.7129  7 Pd 2.71-2.76, 1 Ag 2.80